(1)
# LaYSc2H, relaxed, DFT PBE
data_LaYSc2H
_chemical_formula_sum 'La1 Y1 Sc2 H1'
_space_group_name_H-M_alt 'P 4/m m m'
_space_group_IT_number 123
_space_group_name_Hall '-P 4 2'
_cell_length_a 4.853
_cell_length_b 4.853
_cell_length_c 4.912
_cell_angle_alpha 90.00
_cell_angle_beta 90.00
_cell_angle_gamma 90.00
loop_
_atom_site_label
_atom_site_type_symbol
_atom_site_fract_x
_atom_site_fract_y
_atom_site_fract_z
La1 La 0.000 0.000 0.000
Y1 Y 0.500 0.500 0.000
Sc1 Sc 0.000 0.500 0.500
H1 H 0.000 0.000 0.500
# Energy relative to the lowest polymorph listed for this composition in meV per atom: 0

(2)
# PrPaPt2, relaxed, DFT PBE
data_PrPaPt2
_chemical_formula_sum 'Pr3 Pa3 Pt6'
_space_group_name_H-M_alt 'R 3 m'
_space_group_IT_number 160
_space_group_name_Hall 'R 3 -2"'
_cell_length_a 4.0236
_cell_length_b 4.0236
_cell_length_c 21.7968
_cell_angle_alpha 90.00
_cell_angle_beta 90.00
_cell_angle_gamma 120.00
loop_
_atom_site_label
_atom_site_type_symbol
_atom_site_fract_x
_atom_site_fract_y
_atom_site_fract_z
Pr1 Pr 0.0000 0.0000 0.0000
Pa1 Pa 0.0000 0.0000 0.8287
Pt1 Pt 0.0000 0.0000 0.2378
Pt2 Pt 0.0000 0.0000 0.4216
# Energy relative to the lowest polymorph listed for this composition in meV per atom: 70

(3)
# Sm4CoPb2, relaxed, DFT PBE
data_Sm4CoPb2
_chemical_formula_sum 'Sm8 Co2 Pb4'
_space_group_name_H-M_alt 'P 1 21/m 1'
_space_group_IT_number 11
_cell_length_a 6.389
_cell_length_b 6.817
_cell_length_c 9.581
_cell_angle_alpha 90.00
_cell_angle_beta 102.37
_cell_angle_gamma 90.00
loop_
_space_group_symop_operation_xyz
'x,y,z'
'-x,-y,-z'
'-x,y+1/2,-z'
'x,-y+1/2,z'
loop_
_atom_site_label
_atom_site_type_symbol
_atom_site_fract_x
_atom_site_fract_y
_atom_site_fract_z
Sm1 Sm 0.194 0.250 0.092
Sm2 Sm 0.219 0.000 0.741
Sm3 Sm 0.298 0.750 0.393
Co1 Co 0.036 0.750 0.158
Pb1 Pb 0.198 0.250 0.439
Pb2 Pb 0.374 0.750 0.047
# Energy relative to the lowest polymorph listed for this composition in meV per atom: 0

(4)
# LiCr2Fe2, relaxed, DFT PBE
data_LiCr2Fe2
_chemical_formula_sum 'Li2 Cr4 Fe4'
_space_group_name_H-M_alt 'P 4/m b m'
_space_group_IT_number 127
_space_group_name_Hall '-P 4 2ab'
_cell_length_a 6.863
_cell_length_b 6.863
_cell_length_c 2.524
_cell_angle_alpha 90.00
_cell_angle_beta 90.00
_cell_angle_gamma 90.00
loop_
_atom_site_label
_atom_site_type_symbol
_atom_site_fract_x
_atom_site_fract_y
_atom_site_fract_z
Li1 Li 0.000 0.000 0.000
Cr1 Cr 0.155 0.345 0.500
Fe1 Fe 0.140 0.640 0.000
# Energy relative to the lowest polymorph listed for this composition in meV per atom: 0

(5)
# Ba2Pd2I, relaxed, DFT PBE
data_Ba2Pd2I
_chemical_formula_sum 'Ba6 Pd6 I3'
_space_group_name_H-M_alt 'R -3 m'
_space_group_IT_number 166
_space_group_name_Hall '-R 3 2"'
_cell_length_a 4.7001
_cell_length_b 4.7001
_cell_length_c 27.5973
_cell_angle_alpha 90.00
_cell_angle_beta 90.00
_cell_angle_gamma 120.00
loop_
_atom_site_label
_atom_site_type_symbol
_atom_site_fract_x
_atom_site_fract_y
_atom_site_fract_z
Ba1 Ba 0.0000 0.0000 0.0724
Pd1 Pd 0.0000 0.0000 0.3329
I1 I 0.0000 0.0000 0.5000
# Energy relative to the lowest polymorph listed for this composition in meV per atom: 0

(6)
# CaZnRh2, relaxed, DFT PBE
data_CaZnRh2
_chemical_formula_sum 'Ca1 Zn1 Rh2'
_space_group_name_H-M_alt 'P 4/m m m'
_space_group_IT_number 123
_space_group_name_Hall '-P 4 2'
_cell_length_a 4.421
_cell_length_b 4.421
_cell_length_c 3.364
_cell_angle_alpha 90.00
_cell_angle_beta 90.00
_cell_angle_gamma 90.00
loop_
_atom_site_label
_atom_site_type_symbol
_atom_site_fract_x
_atom_site_fract_y
_atom_site_fract_z
Ca1 Ca 0.000 0.000 0.000
Zn1 Zn 0.500 0.500 0.000
Rh1 Rh 0.000 0.500 0.500
# Final energy in Ha/atom: -0.1742

(7)
# TbZnIn2, relaxed, DFT PBE
data_TbZnIn2
_chemical_formula_sum 'Tb3 Zn3 In6'
_space_group_name_H-M_alt 'R -3 m'
_space_group_IT_number 166
_space_group_name_Hall '-R 3 2"'
_cell_length_a 4.5531
_cell_length_b 4.5531
_cell_length_c 16.1810
_cell_angle_alpha 90.00
_cell_angle_beta 90.00
_cell_angle_gamma 120.00
loop_
_atom_site_label
_atom_site_type_symbol
_atom_site_fract_x
_atom_site_fract_y
_atom_site_fract_z
Tb1 Tb 0.0000 0.0000 0.0000
Zn1 Zn 0.0000 0.0000 0.5000
In1 In 0.0000 0.0000 0.2254
# Final energy in Ha/atom: -0.1129

(8)
# Pr4SiSbTe2, relaxed, DFT PBE
data_Pr4SiSbTe2
_chemical_formula_sum 'Pr4 Si1 Sb1 Te2'
_space_group_name_H-M_alt 'P 1 2/m 1'
_space_group_IT_number 10
_cell_length_a 7.784
_cell_length_b 4.473
_cell_length_c 7.835
_cell_angle_alpha 90.00
_cell_angle_beta 109.15
_cell_angle_gamma 90.00
loop_
_space_group_symop_operation_xyz
'x,y,z'
'-x,-y,-z'
'-x,y,-z'
'x,-y,z'
loop_
_atom_site_label
_atom_site_type_symbol
_atom_site_fract_x
_atom_site_fract_y
_atom_site_fract_z
Pr1 Pr 0.232 0.000 0.228
Pr2 Pr 0.243 0.500 0.767
Si1 Si 0.000 0.500 0.000
Sb1 Sb 0.500 0.000 0.000
Te1 Te 0.000 0.000 0.500
Te2 Te 0.500 0.500 0.500
# Final energy in Ha/atom: -0.2065